First-principles (PBE) data for BaH2Pd2 after structural relaxation, as listed in Alexandria.

Values from the calculation:
Energy relative to the lowest polymorph listed for this composition ... 0.094 eV per atom
Total energy ... -41.23 eV/cell
Total moment ... 0.00 μB/f.u.

abc: 5.1845 7.1171 4.7704
angles: 90.00 90.93 90.00
Closest atoms and distances in Å follow each position.
Space group C2/m (No. 12)
Symmetry-distinct sites (fractional):
Ba: 0.0000 0.0000 0.0000  4 H 2.77
H: 0.2286 0.5000 0.4961  2 Pd 1.81
Pd: 0.0000 0.3082 0.5000  2 H 1.81